Entry 1:
5
Lattice="3.759 0.000 0.000 0.000 3.759 0.000 0.000 0.000 4.291" Properties=species:S:1:pos:R:3 comment="NiBrNO2, relaxed, DFT PBE with a Hubbard U" crystal_system=tetragonal total_magnetization_mub_per_atom=0.390 rho_g_cm3=5.055 pbc="T T T"
Ni 0.000 0.000 0.000
Br 1.880 1.880 2.145
N 1.880 1.880 0.000
O 0.000 1.880 2.145
O 1.880 0.000 2.145

=====

Entry 2:
5
Lattice="3.841 0.000 0.000 0.000 3.841 0.000 0.000 0.000 3.860" Properties=species:S:1:pos:R:3 comment="NiBrNO2, relaxed, DFT PBE with a Hubbard U" crystal_system=tetragonal total_magnetization_mub_per_atom=0.024 rho_g_cm3=5.383 pbc="T T T"
Ni 0.000 0.000 0.000
Br 1.921 1.921 1.930
N 0.000 0.000 1.930
O 0.000 1.921 0.000
O 1.921 0.000 0.000

=====

Number 1: N(E_F) 0.6 states/eV per cell, DFT total energy -15.63 eV for the cell shown. Number 2: N(E_F) 2.9 states/eV per cell, DFT total energy -17.25 eV for the cell shown.